(P)
Ta3Nb4Co6 | PBE | optimized geometry

The space group is R-3m (No. 166, hexagonal axes) and the conventional cell measures 4.9633, 4.9633 and 26.1137 Å, with angles of 90.00, 90.00 and 120.00 degrees. Symmetry generates all atoms from Ta at (0.0000, 0.0000, 0.0000), Ta at (0.0000, 0.0000, 0.3465), Nb at (0.0000, 0.0000, 0.1660), Nb at (0.0000, 0.0000, 0.4506) and Co at (0.0084, 0.5042, 0.4109).

=====

(Q)
Ta3Nb4Co6 | PBE | optimized geometry

The space group is R-3m (No. 166, hexagonal axes) and the conventional cell measures 4.9711, 4.9711 and 26.0344 Å, with angles of 90.00, 90.00 and 120.00 degrees. Symmetry generates all atoms from Ta at (0.0000, 0.0000, 0.0000), Ta at (0.0000, 0.0000, 0.1665), Nb at (0.0000, 0.0000, 0.3465), Nb at (0.0000, 0.0000, 0.4502) and Co at (0.0077, 0.5038, 0.4121).

=====

Relative energies with respect to the most stable structure, expressed in meV per atom: (P) 15; (Q) 0.

=====

(P)
GdSnTe3Au | PBE | optimized geometry

The space group is Pnma (No. 62) and the conventional cell measures 11.197, 4.285 and 14.771 Å, with angles of 90.00, 90.00 and 90.00 degrees. Symmetry generates all atoms from Gd at (0.016, 0.250, 0.245), Sn at (0.228, 0.750, 0.529), Te at (0.041, 0.250, 0.605), Te at (0.071, 0.750, 0.096), Te at (0.236, 0.750, 0.846) and Au at (0.244, 0.250, 0.720).

=====

(Q)
GdSnTe3Au | PBE | optimized geometry

The space group is P2_1/m (No. 11) and the conventional cell measures 8.302, 4.327 and 10.759 Å, with angles of 90.00, 107.32 and 90.00 degrees. Symmetry generates all atoms from Gd at (0.203, 0.250, 0.181), Sn at (0.214, 0.750, 0.705), Te at (0.085, 0.250, 0.874), Te at (0.202, 0.250, 0.471), Te at (0.465, 0.750, 0.174) and Au at (0.384, 0.750, 0.404).

=====

Relative energies with respect to the most stable structure, expressed in meV per atom: (P) 0; (Q) 7.

=====

(P)
CuAg4 | PBE | optimized geometry

The space group is C2/m (No. 12) and the conventional cell measures 9.100, 4.056 and 9.072 Å, with angles of 90.00, 90.17 and 90.00 degrees. Symmetry generates all atoms from Cu at (0.100, 0.000, 0.199), Ag at (0.000, 0.000, 0.500), Ag at (0.000, 0.500, 0.000), Ag at (0.100, 0.500, 0.704), Ag at (0.197, 0.500, 0.394) and Ag at (0.200, 0.000, 0.902).

=====

(Q)
CuAg4 | PBE | optimized geometry

The space group is P4/nmm (No. 129, origin choice 2) and the conventional cell measures 2.906, 2.906 and 19.893 Å, with angles of 90.00, 90.00 and 90.00 degrees. Symmetry generates all atoms from Cu at (0.250, 0.250, 0.143), Ag at (0.250, 0.250, 0.340), Ag at (0.250, 0.250, 0.553), Ag at (0.250, 0.250, 0.767) and Ag at (0.250, 0.250, 0.947).

=====

Relative energies with respect to the most stable structure, expressed in meV per atom: (P) 21; (Q) 0.

=====

(P)
CuAg4 | PBE | optimized geometry

The space group is P-1 (No. 2) and the conventional cell measures 4.991, 5.005 and 7.546 Å, with angles of 108.12, 103.38 and 99.86 degrees. Symmetry generates all atoms from Cu at (0.144, 0.301, 0.049), Ag at (0.039, 0.101, 0.338), Ag at (0.258, 0.494, 0.759), Ag at (0.346, 0.697, 0.446) and Ag at (0.429, 0.899, 0.143).

=====

(Q)
CuAg4 | PBE | optimized geometry

The space group is P-1 (No. 2) and the conventional cell measures 4.977, 4.992 and 7.604 Å, with angles of 102.44, 108.77 and 99.89 degrees. Symmetry generates all atoms from Cu at (0.195, 0.097, 0.194), Ag at (0.000, 0.000, 0.500), Ag at (0.000, 0.500, 0.000), Ag at (0.203, 0.608, 0.703), Ag at (0.391, 0.193, 0.902) and Ag at (0.400, 0.699, 0.399).

=====

Relative energies with respect to the most stable structure, expressed in meV per atom: (P) 0; (Q) 6.

=====

(P)
AsPdPbO | PBE | optimized geometry

The space group is P4/nmm (No. 129, origin choice 2) and the conventional cell measures 4.097, 4.097 and 9.775 Å, with angles of 90.00, 90.00 and 90.00 degrees. Symmetry generates all atoms from As at (0.250, 0.250, 0.144), Pd at (0.250, 0.750, 0.000), Pb at (0.250, 0.250, 0.620) and O at (0.250, 0.750, 0.500).

=====

(Q)
AsPdPbO | PBE | optimized geometry

The space group is P4/nmm (No. 129, origin choice 2) and the conventional cell measures 4.481, 4.481 and 8.139 Å, with angles of 90.00, 90.00 and 90.00 degrees. Symmetry generates all atoms from As at (0.250, 0.250, 0.232), Pd at (0.250, 0.250, 0.530), Pb at (0.250, 0.750, 0.000) and O at (0.250, 0.750, 0.500).

=====

Relative energies with respect to the most stable structure, expressed in meV per atom: (P) 0; (Q) 789.

=====

(P)
Tm2Br | PBE | optimized geometry

The space group is Fm-3m (No. 225) and the conventional cell measures 6.938, 6.938 and 6.938 Å, with angles of 90.00, 90.00 and 90.00 degrees. Symmetry generates all atoms from Tm at (0.250, 0.250, 0.250) and Br at (0.000, 0.000, 0.000).

=====

(Q)
Tm2Br | PBE | optimized geometry

The space group is Fd-3m (No. 227, origin choice 2) and the conventional cell measures 12.716, 12.716 and 12.716 Å, with angles of 90.00, 90.00 and 90.00 degrees. Symmetry generates all atoms from Tm at (0.000, 0.000, 0.000) and Br at (0.125, 0.125, 0.125).

=====

Relative energies with respect to the most stable structure, expressed in meV per atom: (P) 0; (Q) 1126.

=====

(P)
PmAuSeO | PBE | optimized geometry

The space group is P2_1 (No. 4) and the conventional cell measures 5.839, 5.834 and 11.350 Å, with angles of 90.00, 92.34 and 90.00 degrees. Symmetry generates all atoms from Pm at (0.007, 0.000, 0.097), Pm at (0.493, 0.000, 0.902), Au at (0.003, 0.024, 0.724), Au at (0.313, 0.277, 0.504), Se at (0.297, 0.228, 0.291), Se at (0.303, 0.322, 0.716), O at (0.249, 0.249, 0.001) and O at (0.251, 0.749, 0.000).

=====

(Q)
PmAuSeO | PBE | optimized geometry

The space group is Pmc2_1 (No. 26) and the conventional cell measures 4.246, 5.784 and 6.730 Å, with angles of 90.00, 90.00 and 90.00 degrees. Symmetry generates all atoms from Pm at (0.000, 0.249, 0.000), Au at (0.500, 0.163, 0.619), Se at (0.500, 0.410, 0.302) and O at (0.000, 0.036, 0.722).

=====

Relative energies with respect to the most stable structure, expressed in meV per atom: (P) 0; (Q) 439.

=====

(P)
NaNbSO | PBE | optimized geometry

The space group is P-6m2 (No. 187) and the conventional cell measures 3.1615, 3.1615 and 13.3328 Å, with angles of 90.00, 90.00 and 120.00 degrees. Symmetry generates all atoms from Na at (0.0000, 0.0000, 0.2222), Nb at (0.0000, 0.0000, 0.0000), Nb at (0.0000, 0.0000, 0.5000), S at (0.3333, 0.6667, 0.3764) and O at (0.6667, 0.3333, 0.0970).

=====

(Q)
NaNbSO | PBE | optimized geometry

The space group is P-3m1 (No. 164) and the conventional cell measures 3.1698, 3.1698 and 13.2806 Å, with angles of 90.00, 90.00 and 120.00 degrees. Symmetry generates all atoms from Na at (0.0000, 0.0000, 0.0000), Na at (0.0000, 0.0000, 0.5000), Nb at (0.0000, 0.0000, 0.2222), S at (0.3333, 0.6667, 0.6554) and O at (0.3333, 0.6667, 0.8748).

=====

Relative energies with respect to the most stable structure, expressed in meV per atom: (P) 11; (Q) 0.

=====

(P)
SmYNCl3 | PBE | optimized geometry

The space group is C2/m (No. 12) and the conventional cell measures 15.966, 3.906 and 10.620 Å, with angles of 90.00, 119.46 and 90.00 degrees. Symmetry generates all atoms from Sm at (0.137, 0.000, 0.293), Y at (0.086, 0.500, 0.952), N at (0.075, 0.500, 0.155), Cl at (0.053, 0.000, 0.750), Cl at (0.162, 0.500, 0.516) and Cl at (0.222, 0.000, 0.109).

=====

(Q)
SmYNCl3 | PBE | optimized geometry

The space group is C2/m (No. 12) and the conventional cell measures 15.998, 3.889 and 10.583 Å, with angles of 90.00, 120.10 and 90.00 degrees. Symmetry generates all atoms from Sm at (0.089, 0.000, 0.451), Y at (0.137, 0.500, 0.794), N at (0.077, 0.000, 0.659), Cl at (0.047, 0.500, 0.238), Cl at (0.165, 0.000, 0.015) and Cl at (0.228, 0.500, 0.618).

=====

Relative energies with respect to the most stable structure, expressed in meV per atom: (P) 0; (Q) 19.

=====

(P)
Co7Re5 | PBE | optimized geometry

The space group is P6_3/mmc (No. 194) and the conventional cell measures 4.9401, 4.9401 and 15.7454 Å, with angles of 90.00, 90.00 and 120.00 degrees. Symmetry generates all atoms from Co at (0.0000, 0.0000, 0.0838), Co at (0.0000, 0.5000, 0.0000), Co at (0.3333, 0.6667, 0.1571), Re at (0.1612, 0.3224, 0.7500) and Re at (0.3333, 0.6667, 0.6206).

=====

(Q)
Co7Re5 | PBE | optimized geometry

The space group is P6_3/mmc (No. 194) and the conventional cell measures 4.8944, 4.8944 and 15.0381 Å, with angles of 90.00, 90.00 and 120.00 degrees. Symmetry generates all atoms from Co at (0.0000, 0.0000, 0.0904), Co at (0.1553, 0.3106, 0.2500), Co at (0.3333, 0.6667, 0.1355), Re at (0.0000, 0.5000, 0.0000) and Re at (0.3333, 0.6667, 0.6638).

=====

Relative energies with respect to the most stable structure, expressed in meV per atom: (P) 183; (Q) 0.